Material: CsCoRu
Method: DFT, PBE-GGA
State: relaxed

## Properties
Magnetic moment in μB/f.u.: 0.80
DFT formation energy in eV/atom: 0.69
V in A^3/atom: 28.56

a b c (Å): 3.7104 3.7511 12.4487
angles (deg): 90.28 98.48 90.00
Space group P1 (No. 1)
One atom of each set of equivalent atoms:
1 Cs 0.0000 0.0000 0.0000
2 Cs 0.2637 0.5052 0.6124
3 Co 0.5857 0.0039 0.2464
4 Co 0.6432 0.5059 0.3659
5 Ru 0.0798 0.5036 0.2383
6 Ru 0.1482 0.0057 0.3739